Below is ScInRe2 after structural relaxation, with properties calculated at the GGA-PBE level.

a = 3.512 Å, b = 3.512 Å, c = 5.926 Å
α = 90.00°, β = 90.00°, γ = 90.00°
Space group P4/mmm (No. 123)
Symmetry-distinct sites (fractional):
Sc 0.000 0.000 0.000 x1
In 0.000 0.000 0.500 x1
Re 0.500 0.500 0.208 x2

Output
Final energy ... -32.39 eV per cell